{
  "formula": "ZnBS3",
  "functional": "PBE",
  "state": "optimized geometry",
  "sg": "Pm-3m, No. 221",
  "e_above_lowest_polymorph_mev_per_atom": 864.5,
  "n_ef_per_ev_fu": 2.8,
  "raw_formation_energy_ev_per_atom": 0.666,
  "final_energy_ev_per_atom": -3.40,
  "magmom_total_mub_per_cell": 0.00,
  "lattice_angstrom": [[4.210, 0.000, 0.000], [0.000, 4.210, 0.000], [0.000, 0.000, 4.210]],
  "species": ["S", "S", "S", "B", "Zn"],
  "frac_coords": [[0.000, 0.500, 0.000], [0.000, 0.000, 0.500], [0.500, 0.000, 0.000], [0.000, 0.000, 0.000], [0.500, 0.500, 0.500]]
}